(1)
The following is a PBE calculation of an optimized crystal structure of YReS2N, from Alexandria.

Results
For the density of states at the Fermi level, the calculation gives 2.9 states/eV/f.u. For the offset from the most stable computed form, the calculation gives 38.340 kcal/mol of atoms. Its total DFT energy (no corrections) is -5.987 eV per atom. The total magnetization comes out at 3.00 μB per formula unit. The value obtained for the volume is 23.8 A^3/atom.

a b c (Å): 5.2409 5.2409 4.3395
angles (deg): 90.00 90.00 90.00
Closest atoms and distances in Å follow each position.
Fractional positions:
1 N 0.0000 0.0000 0.5000  2 Y 2.17
2 S 0.5000 0.0000 0.0000  2 Y 2.62
3 S 0.0000 0.5000 0.0000  2 Y 2.62
4 Re 0.5000 0.5000 0.5000  8 S 3.40, 4 N 3.71
5 Y 0.0000 0.0000 0.0000  2 N 2.17


(2)
The following is a PBE calculation of an optimized crystal structure of YReSN2, from Alexandria.

Results
For the density of states at the Fermi level, the calculation gives 2.9 states/eV/f.u. For the offset from the most stable computed form, the calculation gives 0.000 kcal/mol of atoms. Its total DFT energy (no corrections) is -8.398 eV per atom. The total magnetization comes out at 0.00 μB per formula unit. The value obtained for the volume is 15.1 A^3/atom.

a b c (Å): 3.9010 3.9010 4.9576
angles (deg): 90.00 90.00 90.00
Closest atoms and distances in Å follow each position.
Fractional positions:
1 Y 0.5000 0.5000 0.5000  4 S 2.76
2 Re 0.0000 0.0000 0.0000  4 N 1.95
3 S 0.0000 0.0000 0.5000  2 Re 2.48, 4 Y 2.76
4 N 0.5000 0.0000 0.0000  2 Re 1.95
5 N 0.0000 0.5000 0.0000  2 Re 1.95


(3)
The following is a PBE calculation of an optimized crystal structure of YReS2N, from Alexandria.

Results
For the density of states at the Fermi level, the calculation gives 4.1 states/eV/f.u. For the offset from the most stable computed form, the calculation gives 0.000 kcal/mol of atoms. Its total DFT energy (no corrections) is -7.649 eV per atom. The total magnetization comes out at 0.00 μB per formula unit. The value obtained for the volume is 17.6 A^3/atom.

a b c (Å): 4.8350 4.8350 3.7721
angles (deg): 90.00 90.00 90.00
Closest atoms and distances in Å follow each position.
Fractional positions:
1 Y 0.5000 0.5000 0.5000  8 S 3.07, 4 N 3.42
2 S 0.0000 0.5000 0.0000  2 Re 2.42
3 S 0.5000 0.0000 0.0000  2 Re 2.42
4 Re 0.0000 0.0000 0.0000  2 N 1.89
5 N 0.0000 0.0000 0.5000  2 Re 1.89


(4)
The following is a PBE calculation of an optimized crystal structure of ZnReS2N, from Alexandria.

Results
For the density of states at the Fermi level, the calculation gives 5.8 states/eV/f.u. For the offset from the most stable computed form, the calculation gives 31.055 kcal/mol of atoms. Its total DFT energy (no corrections) is -4.439 eV per atom. The total magnetization comes out at 2.19 μB per formula unit. The value obtained for the volume is 15.7 A^3/atom.

a b c (Å): 4.7275 4.7275 3.5024
angles (deg): 90.00 90.00 90.00
Closest atoms and distances in Å follow each position.
Fractional positions:
1 Re 0.5000 0.5000 0.5000  8 S 2.94
2 N 0.0000 0.0000 0.5000  2 Zn 1.75
3 S 0.5000 0.0000 0.0000  2 Zn 2.36
4 S 0.0000 0.5000 0.0000  2 Zn 2.36
5 Zn 0.0000 0.0000 0.0000  2 N 1.75


(5)
The following is a PBE calculation of an optimized crystal structure of ZnReS2N, from Alexandria.

Results
For the density of states at the Fermi level, the calculation gives 2.5 states/eV/f.u. For the offset from the most stable computed form, the calculation gives 0.000 kcal/mol of atoms. Its total DFT energy (no corrections) is -5.785 eV per atom. The total magnetization comes out at 0.00 μB per formula unit. The value obtained for the volume is 17.2 A^3/atom.

a b c (Å): 4.8000 4.8000 3.7370
angles (deg): 90.00 90.00 90.00
Closest atoms and distances in Å follow each position.
Fractional positions:
1 Re 0.0000 0.0000 0.0000  2 N 1.87
2 Zn 0.5000 0.5000 0.5000  8 S 3.04, 4 N 3.39
3 S 0.5000 0.0000 0.0000  2 Re 2.40
4 S 0.0000 0.5000 0.0000  2 Re 2.40
5 N 0.0000 0.0000 0.5000  2 Re 1.87


(6)
The following is a PBE calculation of an optimized crystal structure of ZrReS2N, from Alexandria.

Results
For the density of states at the Fermi level, the calculation gives 4.4 states/eV/f.u. For the offset from the most stable computed form, the calculation gives 0.000 kcal/mol of atoms. Its total DFT energy (no corrections) is -7.531 eV per atom. The total magnetization comes out at 0.00 μB per formula unit. The value obtained for the volume is 17.0 A^3/atom.

a b c (Å): 4.7774 4.7774 3.7253
angles (deg): 90.00 90.00 90.00
Closest atoms and distances in Å follow each position.
Fractional positions:
1 S 0.0000 0.5000 0.0000  2 Re 2.39
2 S 0.5000 0.0000 0.0000  2 Re 2.39
3 Zr 0.5000 0.5000 0.5000  8 S 3.03, 4 N 3.38
4 Re 0.0000 0.0000 0.0000  2 N 1.86
5 N 0.0000 0.0000 0.5000  2 Re 1.86


(7)
The following is a PBE calculation of an optimized crystal structure of ZrReS2N, from Alexandria.

Results
For the density of states at the Fermi level, the calculation gives 3.3 states/eV/f.u. For the offset from the most stable computed form, the calculation gives 19.515 kcal/mol of atoms. Its total DFT energy (no corrections) is -6.685 eV per atom. The total magnetization comes out at 4.26 μB per formula unit. The value obtained for the volume is 20.7 A^3/atom.

a b c (Å): 5.0634 5.0634 4.0277
angles (deg): 90.00 90.00 90.00
Closest atoms and distances in Å follow each position.
Fractional positions:
1 Zr 0.0000 0.0000 0.0000  2 N 2.01
2 Re 0.5000 0.5000 0.5000  8 S 3.23, 4 N 3.58
3 S 0.5000 0.0000 0.0000  2 Zr 2.53
4 S 0.0000 0.5000 0.0000  2 Zr 2.53
5 N 0.0000 0.0000 0.5000  2 Zr 2.01


(8)
The following is a PBE calculation of an optimized crystal structure of Re5Sb3N12, from Alexandria.

Results
For the density of states at the Fermi level, the calculation gives 10.1 states/eV/f.u. Its total DFT energy (no corrections) is -8.358 eV per atom. The total magnetization comes out at 0.00 μB per formula unit. The value obtained for the volume is 13.4 A^3/atom.

a b c (Å): 11.1680 11.1680 11.1680
angles (deg): 109.47 109.47 109.47
Closest atoms and distances in Å follow each position.
Fractional positions:
1 N 0.0728 0.1794 0.1906  2 Re 1.87-2.03
2 N 0.4888 0.8094 0.8822  2 Re 1.87-2.03
3 N 0.3822 0.9888 0.8094  2 Re 1.87-2.03
4 N 0.0112 0.3934 0.8206  2 Re 1.87-2.03
5 N 0.8206 0.9272 0.3094  2 Re 1.87-2.03
6 N 0.1906 0.6794 0.0728  2 Re 1.87-2.03
7 N 0.9272 0.1066 0.6178  2 Re 1.87-2.03
8 N 0.5728 0.8822 0.3934  2 Re 1.87-2.03
9 N 0.5112 0.3206 0.8934  2 Re 1.87-2.03
10 N 0.1178 0.4272 0.1066  2 Re 1.87-2.03
11 N 0.8934 0.8206 0.5112  2 Re 1.87-2.03
12 N 0.4272 0.1178 0.6066  2 Re 1.87-2.03
13 N 0.8094 0.3206 0.9272  2 Re 1.87-2.03
14 N 0.1066 0.9272 0.1178  2 Re 1.87-2.03
15 N 0.6066 0.9888 0.6794  2 Re 1.87-2.03
16 N 0.0728 0.8934 0.3822  2 Re 1.87-2.03
17 N 0.3934 0.3822 0.5728  2 Re 1.87-2.03
18 N 0.9888 0.6066 0.1794  2 Re 1.87-2.03
19 N 0.3206 0.5112 0.3934  2 Re 1.87-2.03
20 N 0.3934 0.0112 0.3206  2 Re 1.87-2.03
21 N 0.1794 0.1066 0.9888  2 Re 1.87-2.03
22 N 0.8934 0.0728 0.8822  2 Re 1.87-2.03
23 N 0.3094 0.8822 0.9888  2 Re 1.87-2.03
24 N 0.8206 0.8934 0.0112  2 Re 1.87-2.03
25 N 0.8822 0.3094 0.4888  2 Re 1.87-2.03
26 N 0.6906 0.5728 0.1794  2 Re 1.87-2.03
27 N 0.4272 0.3094 0.3206  2 Re 1.87-2.03
28 N 0.6794 0.1906 0.5728  2 Re 1.87-2.03
29 N 0.1178 0.6906 0.5112  2 Re 1.87-2.03
30 N 0.1794 0.0728 0.6906  2 Re 1.87-2.03
31 N 0.4888 0.6794 0.1066  2 Re 1.87-2.03
32 N 0.5728 0.6906 0.6794  2 Re 1.87-2.03
33 N 0.6178 0.6066 0.9272  2 Re 1.87-2.03
34 N 0.1066 0.1794 0.4888  2 Re 1.87-2.03
35 N 0.6066 0.6178 0.4272  2 Re 1.87-2.03
36 N 0.8822 0.5728 0.8934  2 Re 1.87-2.03
37 N 0.3822 0.3934 0.0728  2 Re 1.87-2.03
38 N 0.1906 0.5112 0.6178  2 Re 1.87-2.03
39 N 0.6794 0.4888 0.6066  2 Re 1.87-2.03
40 N 0.9272 0.8206 0.8094  2 Re 1.87-2.03
41 N 0.9888 0.3822 0.3094  2 Re 1.87-2.03
42 N 0.6906 0.1178 0.0112  2 Re 1.87-2.03
43 N 0.0112 0.6178 0.6906  2 Re 1.87-2.03
44 N 0.3206 0.8094 0.4272  2 Re 1.87-2.03
45 N 0.3094 0.4272 0.8206  2 Re 1.87-2.03
46 N 0.8094 0.4888 0.3822  2 Re 1.87-2.03
47 N 0.5112 0.1906 0.1178  2 Re 1.87-2.03
48 N 0.6178 0.0112 0.1906  2 Re 1.87-2.03
49 Sb 0.1250 0.8750 0.7500  8 N 2.46-2.73
50 Sb 0.2500 0.6250 0.8750  8 N 2.46-2.73
51 Sb 0.1250 0.2500 0.8750  8 N 2.46-2.73
52 Sb 0.6250 0.3750 0.7500  8 N 2.46-2.73
53 Sb 0.8750 0.1250 0.2500  8 N 2.46-2.73
54 Sb 0.2500 0.1250 0.3750  8 N 2.46-2.73
55 Sb 0.6250 0.2500 0.3750  8 N 2.46-2.73
56 Sb 0.7500 0.8750 0.6250  8 N 2.46-2.73
57 Sb 0.8750 0.7500 0.1250  8 N 2.46-2.73
58 Sb 0.7500 0.3750 0.1250  8 N 2.46-2.73
59 Sb 0.3750 0.7500 0.6250  8 N 2.46-2.73
60 Sb 0.3750 0.6250 0.2500  8 N 2.46-2.73
61 Re 0.5000 0.0000 0.5000  6 N 2.03
62 Re 0.0000 0.0000 0.0000  6 N 2.03
63 Re 0.3750 0.1250 0.7500  4 N 1.87
64 Re 0.0000 0.5000 0.5000  6 N 2.03
65 Re 0.0000 0.5000 0.0000  6 N 2.03
66 Re 0.2500 0.3750 0.6250  4 N 1.87
67 Re 0.5000 0.0000 0.0000  6 N 2.03
68 Re 0.5000 0.5000 0.5000  6 N 2.03
69 Re 0.3750 0.2500 0.1250  4 N 1.87
70 Re 0.0000 0.0000 0.5000  6 N 2.03
71 Re 0.6250 0.8750 0.2500  4 N 1.87
72 Re 0.7500 0.1250 0.8750  4 N 1.87
73 Re 0.6250 0.7500 0.8750  4 N 1.87
74 Re 0.7500 0.6250 0.3750  4 N 1.87
75 Re 0.2500 0.8750 0.1250  4 N 1.87
76 Re 0.1250 0.3750 0.2500  4 N 1.87
77 Re 0.1250 0.7500 0.3750  4 N 1.87
78 Re 0.5000 0.5000 0.0000  6 N 2.03
79 Re 0.8750 0.6250 0.7500  4 N 1.87
80 Re 0.8750 0.2500 0.6250  4 N 1.87


(9)
The following is a PBE calculation of an optimized crystal structure of Re3SbN, from Alexandria.

Results
For the density of states at the Fermi level, the calculation gives 12.9 states/eV/f.u. For the offset from the most stable computed form, the calculation gives 76.073 kcal/mol of atoms. Its total DFT energy (no corrections) is -5.992 eV per atom. The total magnetization comes out at 0.00 μB per formula unit. The value obtained for the volume is 22.7 A^3/atom.

a b c (Å): 4.8389 4.8389 4.8389
angles (deg): 90.00 90.00 90.00
Closest atoms and distances in Å follow each position.
Fractional positions:
1 Re 0.5000 0.0000 0.0000  2 Sb 2.42
2 Re 0.0000 0.0000 0.5000  2 Sb 2.42
3 Re 0.0000 0.5000 0.0000  2 Sb 2.42
4 Sb 0.0000 0.0000 0.0000  6 Re 2.42
5 N 0.5000 0.5000 0.5000  12 Re 3.42


(10)
The following is a PBE calculation of an optimized crystal structure of Re3SbN, from Alexandria.

Results
For the density of states at the Fermi level, the calculation gives 4.8 states/eV/f.u. For the offset from the most stable computed form, the calculation gives 0.000 kcal/mol of atoms. Its total DFT energy (no corrections) is -9.291 eV per atom. The total magnetization comes out at 0.68 μB per formula unit. The value obtained for the volume is 14.4 A^3/atom.

a b c (Å): 4.1595 4.1595 4.1595
angles (deg): 90.00 90.00 90.00
Closest atoms and distances in Å follow each position.
Fractional positions:
1 Sb 0.5000 0.5000 0.5000  12 Re 2.94
2 N 0.0000 0.0000 0.0000  6 Re 2.08
3 Re 0.0000 0.5000 0.0000  2 N 2.08
4 Re 0.0000 0.0000 0.5000  2 N 2.08
5 Re 0.5000 0.0000 0.0000  2 N 2.08


(11)
The following is a PBE calculation of an optimized crystal structure of ReSbN3, from Alexandria.

Results
For the density of states at the Fermi level, the calculation gives 1.6 states/eV/f.u. Its total DFT energy (no corrections) is -7.604 eV per atom. The total magnetization comes out at 0.00 μB per formula unit. The value obtained for the volume is 12.2 A^3/atom.

a b c (Å): 3.9384 3.9384 3.9384
angles (deg): 90.00 90.00 90.00
Closest atoms and distances in Å follow each position.
Fractional positions:
1 Re 0.0000 0.0000 0.0000  6 N 1.97
2 Sb 0.5000 0.5000 0.5000  12 N 2.78
3 N 0.0000 0.0000 0.5000  2 Re 1.97
4 N 0.5000 0.0000 0.0000  2 Re 1.97
5 N 0.0000 0.5000 0.0000  2 Re 1.97


(12)
The following is a PBE calculation of an optimized crystal structure of ReSbN2, from Alexandria.

Results
For the density of states at the Fermi level, the calculation gives 2.6 states/eV/f.u. Its total DFT energy (no corrections) is -7.833 eV per atom. The total magnetization comes out at 0.00 μB per formula unit. The value obtained for the volume is 19.0 A^3/atom.

a b c (Å): 6.0026 6.0026 5.9907
angles (deg): 59.93 59.93 90.00
Closest atoms and distances in Å follow each position.
Fractional positions:
1 Sb 0.2500 0.7500 0.5000  12 N 3.51-3.52, 4 Sb 3.67, 4 Re 3.67
2 Sb 0.5000 0.5000 0.0000  12 N 3.51-3.52, 4 Sb 3.67, 4 Re 3.67
3 N 0.3750 0.1243 0.7500  2 Re 1.84
4 N 0.8757 0.1250 0.2500  2 Re 1.84
5 N 0.8743 0.6250 0.2500  2 Re 1.84
6 N 0.8750 0.1257 0.7500  2 Re 1.84
7 Re 0.7500 0.2500 0.5000  4 N 1.84
8 Re 0.0000 0.0000 0.0000  4 N 1.84